Record 1
GePIrN PBE optimized geometry; space-group type = Cm; formation energy without anion corrections = 20 kJ/mol of formula units; polymorph energy (0 for the lowest one) = 222 meV/atom
1.0
3.413 0.006 -0.002
1.694 4.033 0.007
0.002 1.419 4.650
Ir N P Ge
1 1 1 1
Cartesian
2.693 2.843 1.065
0.990 1.918 4.327
0.989 1.334 1.202
2.696 2.838 3.573



Record 2
GePIrN PBE optimized geometry; space-group type = Pmm2; formation energy without anion corrections = -66 kJ/mol of formula units; polymorph energy (0 for the lowest one) = 0 meV/atom
1.0
-1.336 -0.976 -3.152
2.542 0.144 -1.122
0.907 -5.570 1.341
Ge P N Ir
1 1 1 1
Cartesian
1.599 -1.942 -0.076
0.768 -4.714 1.135
1.293 -0.066 -0.528
-0.139 -3.732 -0.795



Record 3
GePIrN PBE optimized geometry; space-group type = P3m1; formation energy without anion corrections = -45 kJ/mol of formula units; polymorph energy (0 for the lowest one) = 54 meV/atom
1.0
3.348 0.000 0.000
-1.674 2.900 0.000
0.000 0.000 6.286
Ge Ir P N
1 1 1 1
Cartesian
0.000 1.933 1.564
0.000 1.933 4.074
1.674 0.967 5.158
1.674 0.967 0.613